(1)
An optimized crystal structure of LiEr3Co. Source: the Alexandria database, functional PBE.

Unit cell a=5.1791 b=5.1791 c=5.1791 alpha=90.00 beta=90.00 gamma=90.00
Element x y z (fractional)
1 Li 0.5000 0.5000 0.5000
2 Co 0.0000 0.0000 0.0000
3 Er 0.0000 0.5000 0.0000
4 Er 0.0000 0.0000 0.5000
5 Er 0.5000 0.0000 0.0000

Output
symmetry	No. 221
energy	-4.556	eV/atom



(2)
An optimized crystal structure of Ga2TeS. Source: the Alexandria database, functional PBE.

Unit cell a=4.9601 b=4.9601 c=4.9601 alpha=60.00 beta=60.00 gamma=60.00
Element x y z (fractional)
1 S 0.0000 0.0000 0.0000
2 Te 0.5000 0.5000 0.5000
3 Ga 0.2500 0.2500 0.2500
4 Ga 0.7500 0.7500 0.7500

Output
formation energy (no corrections)	59	meV/atom
offset from the most stable computed form	251	meV/atom
symmetry	No. 225



(3)
An optimized crystal structure of ReAsPb. Source: the Alexandria database, functional PBE.

Unit cell a=4.4032 b=4.4032 c=3.6265 alpha=90.00 beta=90.00 gamma=120.00
Element x y z (fractional)
1 Pb 0.3333 0.6667 0.3332
2 Re 0.6667 0.3333 0.8334
3 As 0.0000 0.0000 0.8332

Output
offset from the most stable computed form	371	meV/atom
symmetry	No. 187



For reference, spin magnetization by record: 0.0 0.0 0.0 μB/cell.